# PBE BeGaPH2, optimized geometry
# - M_tot (μB per formula unit) = 0.00
# - VASP energy (eV per atom) = -3.41
# - crystal system = tetragonal
data_BeGaPH2
_cell_length_a 3.425
_cell_length_b 3.425
_cell_length_c 4.575
_cell_angle_alpha 90.00
_cell_angle_beta 90.00
_cell_angle_gamma 90.00
_space_group_name_H-M_alt 'P 4/m m m'
_space_group_IT_number 123
_space_group_name_Hall '-P 4 2'
loop_
_atom_site_label
_atom_site_fract_x
_atom_site_fract_y
_atom_site_fract_z
_atom_site_occupancy
Be1 0.000 0.000 0.000 1
Ga1 0.500 0.500 0.000 1
P1 0.000 0.000 0.500 1
H1 0.000 0.500 0.500 1